{
  "formula": "BaSrVF6",
  "functional": "PBE+U",
  "state": "relaxed",
  "dft_energy_ev_per_cell": -106.50,
  "dos_at_fermi_per_ev_cell": 0.0,
  "magmom_total_mub_per_cell": 6.0,
  "lattice_angstrom": [[6.0344, 0.0000, 0.0000], [-3.0172, 5.2259, 0.0000], [0.0000, 0.0000, 10.8999]],
  "species": ["Ba", "Ba", "Sr", "Sr", "V", "V", "F", "F", "F", "F", "F", "F", "F", "F", "F", "F", "F", "F"],
  "fractional_positions": [[0.0000, 0.0000, 0.0000], [0.0000, 0.0000, 0.5000], [0.3333, 0.6667, 0.2500], [0.6667, 0.3333, 0.7500], [0.6667, 0.3333, 0.2500], [0.3333, 0.6667, 0.7500], [0.6632, 0.6268, 0.1415], [0.9637, 0.3368, 0.1415], [0.3368, 0.9637, 0.6415], [0.0363, 0.6632, 0.8585], [0.3732, 0.3368, 0.3585], [0.9637, 0.6268, 0.3585], [0.6268, 0.9637, 0.8585], [0.6632, 0.0363, 0.3585], [0.0363, 0.3732, 0.6415], [0.3732, 0.0363, 0.1415], [0.6268, 0.6632, 0.6415], [0.3368, 0.3732, 0.8585]]
}